No. 1
NiAu2Se | Alexandria | PBE | optimized geometry; energy = -31.4 eV per cell; symmetry = Cm, No. 8; formation energy without anion corrections = 33.2 meV per atom; Fermi-level density of states = 2.3 states/eV per cell
1.0
9.060 0.000 0.000
0.000 2.953 0.000
-1.150 0.000 5.822
Ni Au Se
2 4 2
Direct
0.000 0.000 0.000 Ni
0.500 0.500 0.000 Ni
0.259 0.000 0.840 Au
0.491 0.000 0.603 Au
0.759 0.500 0.840 Au
0.991 0.500 0.603 Au
0.125 0.500 0.260 Se
0.625 0.000 0.260 Se

No. 2
NiAuSe2 | Alexandria | PBE | optimized geometry; energy = -63.2 eV per cell; symmetry = Cmcm, No. 63; formation energy without anion corrections = 56.9 meV per atom; Fermi-level density of states = 9.4 states/eV per cell
1.0
2.910 0.000 0.000
0.000 22.823 0.000
0.000 0.000 4.684
Ni Au Se
4 4 8
Direct
0.000 0.062 0.250 Ni
0.000 0.938 0.750 Ni
0.500 0.438 0.750 Ni
0.500 0.562 0.250 Ni
0.000 0.318 0.250 Au
0.000 0.682 0.750 Au
0.500 0.182 0.750 Au
0.500 0.818 0.250 Au
0.000 0.041 0.750 Se
0.000 0.166 0.250 Se
0.000 0.834 0.750 Se
0.000 0.959 0.250 Se
0.500 0.334 0.750 Se
0.500 0.459 0.250 Se
0.500 0.541 0.750 Se
0.500 0.666 0.250 Se

No. 3
NiAuSe2 | Alexandria | PBE | optimized geometry; energy = -33.3 eV per cell; symmetry = P-1, No. 2; formation energy without anion corrections = -159.2 meV per atom; Fermi-level density of states = 3.8 states/eV per cell
1.0
3.661 0.000 0.000
-0.004 6.152 0.000
-1.812 -2.364 7.223
Ni Au Se
2 2 4
Direct
0.000 0.000 0.000 Ni
0.500 0.500 0.000 Ni
0.000 0.000 0.500 Au
0.000 0.500 0.500 Au
0.059 0.397 0.172 Se
0.387 0.102 0.827 Se
0.613 0.898 0.173 Se
0.941 0.603 0.828 Se

No. 4
Ni5AuSe8 | Alexandria | PBE | optimized geometry; energy = -63.5 eV per cell; symmetry = F-43m, No. 216; formation energy without anion corrections = -244.9 meV per atom; Fermi-level density of states = 6.7 states/eV per cell
1.0
0.000 5.105 5.105
5.105 0.000 5.105
5.105 5.105 0.000
Ni Au Se
5 1 8
Direct
0.000 0.000 0.000 Ni
0.121 0.626 0.626 Ni
0.626 0.121 0.626 Ni
0.626 0.626 0.121 Ni
0.626 0.626 0.626 Ni
0.250 0.250 0.250 Au
0.392 0.392 0.392 Se
0.392 0.392 0.824 Se
0.392 0.824 0.392 Se
0.403 0.866 0.866 Se
0.824 0.392 0.392 Se
0.866 0.403 0.866 Se
0.866 0.866 0.403 Se
0.866 0.866 0.866 Se

No. 5
NiAuSe2 | Alexandria | PBE | optimized geometry; energy = -14.4 eV per cell; symmetry = P4/mmm, No. 123; formation energy without anion corrections = 419.1 meV per atom; Fermi-level density of states = 3.8 states/eV per cell
1.0
4.514 0.000 0.000
0.000 4.514 0.000
0.000 0.000 3.430
Ni Au Se
1 1 2
Direct
0.000 0.000 0.000 Ni
0.500 0.500 0.000 Au
0.000 0.500 0.500 Se
0.500 0.000 0.500 Se

No. 6
NiAuSe2 | Alexandria | PBE | optimized geometry; energy = -55.3 eV per cell; symmetry = F-43m, No. 216; formation energy without anion corrections = 551.2 meV per atom; Fermi-level density of states = 17.1 states/eV per cell
1.0
6.564 0.000 0.000
0.000 6.564 0.000
0.000 0.000 6.564
Ni Au Se
4 4 8
Direct
0.000 0.000 0.000 Ni
0.000 0.500 0.500 Ni
0.500 0.000 0.500 Ni
0.500 0.500 0.000 Ni
0.250 0.250 0.250 Au
0.250 0.750 0.750 Au
0.750 0.250 0.750 Au
0.750 0.750 0.250 Au
0.000 0.000 0.500 Se
0.000 0.500 0.000 Se
0.250 0.250 0.750 Se
0.250 0.750 0.250 Se
0.500 0.000 0.000 Se
0.500 0.500 0.500 Se
0.750 0.250 0.250 Se
0.750 0.750 0.750 Se

No. 7
NiAu2Se | Alexandria | PBE | optimized geometry; energy = -44.0 eV per cell; symmetry = R-3m, No. 166; formation energy without anion corrections = 287.6 meV per atom; Fermi-level density of states = 13.5 states/eV per cell
1.0
2.839 0.000 0.000
-1.419 2.458 0.000
0.000 0.000 30.530
Ni Au Se
3 6 3
Direct
0.000 0.000 0.000 Ni
0.333 0.667 0.667 Ni
0.667 0.333 0.333 Ni
0.000 0.000 0.263 Au
0.000 0.000 0.737 Au
0.333 0.667 0.403 Au
0.333 0.667 0.930 Au
0.667 0.333 0.070 Au
0.667 0.333 0.597 Au
0.000 0.000 0.500 Se
0.333 0.667 0.167 Se
0.667 0.333 0.833 Se

No. 8
NiAu2Se | Alexandria | PBE | optimized geometry; energy = -14.7 eV per cell; symmetry = P4/mmm, No. 123; formation energy without anion corrections = 278.4 meV per atom; Fermi-level density of states = 3.6 states/eV per cell
1.0
3.900 0.000 0.000
0.000 3.900 0.000
0.000 0.000 4.491
Ni Au Se
1 2 1
Direct
0.000 0.000 0.000 Ni
0.000 0.500 0.500 Au
0.500 0.000 0.500 Au
0.500 0.500 0.000 Se

No. 9
NiAuSe2 | Alexandria | PBE | optimized geometry; energy = -16.1 eV per cell; symmetry = P3m1, No. 156; formation energy without anion corrections = -10.6 meV per atom; Fermi-level density of states = 3.5 states/eV per cell
1.0
4.146 0.000 0.000
-2.073 3.590 0.000
0.000 0.000 5.122
Ni Au Se
1 1 2
Direct
0.000 0.000 0.000 Ni
0.667 0.333 0.720 Au
0.000 0.000 0.488 Se
0.333 0.667 0.066 Se

No. 10
NiAuSe2 | Alexandria | PBE | optimized geometry; energy = -16.4 eV per cell; symmetry = P3m1, No. 156; formation energy without anion corrections = -88.3 meV per atom; Fermi-level density of states = 2.0 states/eV per cell
1.0
3.560 0.000 0.000
-1.780 3.083 0.000
0.000 0.000 7.080
Ni Au Se
1 1 2
Direct
0.000 0.000 0.000 Ni
0.333 0.667 0.478 Au
0.333 0.667 0.831 Se
0.667 0.333 0.195 Se

No. 11
NiAuSe2 | Alexandria | PBE | optimized geometry; energy = -64.3 eV per cell; symmetry = Cmcm, No. 63; formation energy without anion corrections = -10.7 meV per atom; Fermi-level density of states = 10.5 states/eV per cell
1.0
3.278 0.000 0.000
0.000 23.410 0.000
0.000 0.000 3.983
Ni Au Se
4 4 8
Direct
0.000 0.187 0.250 Ni
0.000 0.813 0.750 Ni
0.500 0.313 0.750 Ni
0.500 0.687 0.250 Ni
0.000 0.460 0.250 Au
0.000 0.540 0.750 Au
0.500 0.040 0.750 Au
0.500 0.960 0.250 Au
0.000 0.289 0.250 Se
0.000 0.391 0.750 Se
0.000 0.609 0.250 Se
0.000 0.711 0.750 Se
0.500 0.109 0.250 Se
0.500 0.211 0.750 Se
0.500 0.789 0.250 Se
0.500 0.891 0.750 Se

No. 12
NiAuSe2 | Alexandria | PBE | optimized geometry; energy = -64.5 eV per cell; symmetry = C2/c, No. 15; formation energy without anion corrections = -24.8 meV per atom; Fermi-level density of states = 12.0 states/eV per cell
1.0
7.997 0.000 0.000
0.000 10.707 0.000
-3.637 0.000 4.031
Ni Au Se
4 4 8
Direct
0.000 0.010 0.250 Ni
0.000 0.990 0.750 Ni
0.500 0.490 0.750 Ni
0.500 0.510 0.250 Ni
0.000 0.429 0.250 Au
0.000 0.571 0.750 Au
0.500 0.071 0.750 Au
0.500 0.929 0.250 Au
0.179 0.145 0.692 Se
0.179 0.855 0.192 Se
0.321 0.355 0.308 Se
0.321 0.645 0.808 Se
0.679 0.355 0.192 Se
0.679 0.645 0.692 Se
0.821 0.145 0.808 Se
0.821 0.855 0.308 Se

Question: Among the records above, which one has the lowest energy?
Answer: number 12